1.
## CaLa2GeO6 (PBE-GGA)

Data for crystalline CaLa2GeO6 at its relaxed geometry.

```
CaLa2GeO6
1.0
-2.164 -2.711 3.539
-0.829 -4.076 -3.630
4.897 -2.177 1.326
Ca La Ge O
1 2 1 6
direct
0.573 0.500 0.500 Ca
0.010 0.500 0.000 La
0.010 0.000 0.500 La
0.602 0.000 0.000 Ge
0.722 0.228 0.228 O
0.722 0.228 0.772 O
0.124 0.500 0.500 O
0.240 0.000 0.000 O
0.722 0.772 0.772 O
0.722 0.772 0.228 O
```

## Properties
As for the density of states at the Fermi level: 0.0 states/eV/f.u. As for the total energy: -7.392 eV/atom. The raw formation energy comes out at -2.770 eV per atom.

***

2.
## CaLaGe2Pb (PBE-GGA)

Data for crystalline CaLaGe2Pb at its relaxed geometry.

```
CaLaGe2Pb
1.0
-2.066 -4.094 -2.716
-2.039 -1.966 4.515
-4.697 2.930 -0.845
Pb Ge Ca La
1 2 1 1
direct
0.000 0.000 0.500 Pb
0.000 0.500 0.000 Ge
0.500 0.000 0.000 Ge
0.000 0.000 0.000 Ca
0.500 0.500 0.500 La
```

## Properties
As for the density of states at the Fermi level: 5.2 states/eV/f.u. As for the total energy: -3.739 eV/atom. As for the energy relative to the elements: 5.43 kcal/mol of atoms.

***

3.
## CaLaGePd (PBE-GGA)

Data for crystalline CaLaGePd at its relaxed geometry.

```
CaLaGePd
1.0
-1.776 3.018 -3.807
2.337 -0.013 -4.615
-2.361 -2.114 -4.089
Ge Ca Pd La
1 1 1 1
direct
0.250 0.250 0.250 Ge
0.000 0.000 0.000 Ca
0.750 0.750 0.750 Pd
0.500 0.500 0.500 La
```

## Properties
As for the density of states at the Fermi level: 2.4 states/eV/f.u. As for the total energy: -4.893 eV/atom. As for the energy relative to the elements: -16.33 kcal/mol of atoms.